3
Lattice="-3.7064 -1.4200 2.6127 -1.4226 2.5985 3.7154 -4.1034 2.3877 -0.2023" Properties=species:S:1:pos:R:3 comment="GdBiOs | OQMD | PBE | optimized geometry" spacegroup="F-43m, No. 216" magnetic_moment_mub_per_cell=0.00 energy_ev_per_cell=-19.91 pbc="T T T"
Bi -2.3081 0.8915 1.5314
Gd -6.9243 2.6746 4.5943
Os 0.0000 0.0000 0.0000



4
Lattice="3.5481 2.5371 0.6226 -0.1065 3.2435 2.9802 2.3330 -0.3500 3.7213" Properties=species:S:1:pos:R:3 comment="CdBW2 | OQMD | PBE | optimized geometry" spacegroup="F-43m, No. 216" magnetic_moment_mub_per_cell=0.00 energy_ev_per_cell=-28.54 pbc="T T T"
W 4.3309 4.0729 5.4930
W 0.0000 0.0000 0.0000
B 2.8873 2.7153 3.6620
Cd 1.4436 1.3576 1.8310



4
Lattice="-1.9075 -2.2606 3.2971 -3.9330 1.2852 1.5810 -3.6095 -2.4433 -0.7882" Properties=species:S:1:pos:R:3 comment="ZnCoHgPd | OQMD | PBE | optimized geometry" spacegroup="F-43m, No. 216" magnetic_moment_mub_per_cell=0.86 ef_ev_per_atom=0.07 energy_ev_per_cell=-13.56 pbc="T T T"
Co -7.0875 -2.5640 3.0675
Zn 0.0000 0.0000 0.0000
Pd -2.3625 -0.8547 1.0225
Hg -4.7250 -1.7093 2.0450



8
Lattice="-2.9338 -1.1352 1.4688 1.2953 -3.2196 0.0989 3.5358 1.6794 8.3601" Properties=species:S:1:pos:R:3 comment="ReAgPO | OQMD | PBE | optimized geometry" spacegroup="P4/nmm, No. 129" magnetic_moment_mub_per_cell=0.68 energy_ev_per_cell=-49.18 pbc="T T T"
O 0.0000 0.0000 0.0000
O -0.8192 -2.1774 0.7839
Ag 0.9487 -1.3377 4.9639
Ag 1.7679 0.8397 4.1800
Re 1.5796 0.8794 7.9375
Re 1.1370 -1.3774 1.2064
P 3.2665 -0.3659 6.2416
P -0.5500 -0.1321 2.9024



12
Lattice="-7.6863 2.7931 2.0864 6.5218 -5.2304 1.1586 4.9506 7.8770 7.6930" Properties=species:S:1:pos:R:3 comment="KNpTlSe3 | OQMD | PBE | optimized geometry" spacegroup="Cmcm, No. 63" magnetic_moment_mub_per_cell=6.02 energy_ev_per_cell=-64.65 pbc="T T T"
Se 3.0529 4.7331 7.3973
Se 0.7332 0.7066 3.5407
Se -1.1564 9.7433 9.6500
Se -3.5992 5.8564 5.8539
Se 7.3853 -0.4167 5.0841
Se 4.9425 -4.3036 1.2880
Tl -4.5002 3.6620 3.8824
Tl 8.2863 1.7777 7.0556
Np 1.8930 2.7199 5.4690
Np -0.5822 -1.2186 1.6225
K 5.4935 -1.9815 3.2298
K -1.7074 7.4212 7.7082



5
Lattice="-2.3603 4.1686 3.6844 -2.6722 4.9851 -2.1287 -0.0631 -5.9848 -0.8372" Properties=species:S:1:pos:R:3 comment="SrZnSi2Os | OQMD | PBE | optimized geometry" spacegroup="I-4m2, No. 119" magnetic_moment_mub_per_cell=0.01 energy_ev_per_cell=-26.39 pbc="T T T"
Sr 0.0000 0.0000 0.0000
Si -1.8874 3.4330 0.5835
Si -3.1451 5.7206 0.9722
Zn -2.6258 1.7885 -1.0941
Os -2.4699 1.3803 1.8125



9
Lattice="7.3003 0.0000 0.0000 -3.6502 6.3223 0.0000 0.0000 0.0000 3.8198" Properties=species:S:1:pos:R:3 comment="HfZrAs | OQMD | PBE | optimized geometry" spacegroup="P-62m, No. 189" magnetic_moment_mub_per_cell=0.01 energy_ev_per_cell=-77.07 pbc="T T T"
Zr 4.3091 0.0000 1.9099
Zr 1.4956 2.5905 1.9099
Zr -2.1545 3.7318 1.9099
As 3.6502 2.1074 0.0000
As 0.0000 0.0000 1.9099
As 0.0000 4.2148 0.0000
Hf 2.7212 4.7132 0.0000
Hf -0.9290 1.6091 0.0000
Hf 1.8580 0.0000 0.0000



3
Lattice="-0.5713 -0.4399 4.4875 -2.6596 2.9197 2.2493 -4.0001 -1.3826 1.6569" Properties=species:S:1:pos:R:3 comment="SmCoPt | OQMD | PBE | optimized geometry" spacegroup="F-43m, No. 216" magnetic_moment_mub_per_cell=1.74 ef_ev_per_atom=-0.16 energy_ev_per_cell=-18.36 pbc="T T T"
Co -1.8077 0.2743 2.0984
Pt 0.0000 0.0000 0.0000
Sm -5.4232 0.8229 6.2953



2
Lattice="-2.0369 -3.2437 -1.5568 1.7347 -0.2515 3.7445 -3.3434 1.3138 1.6371" Properties=species:S:1:pos:R:3 comment="AgI | OQMD | PBE | optimized geometry" spacegroup="P-6m2, No. 187" energy_ev_per_cell=-4.52 pbc="T T T"
I -0.3584 -0.9204 2.3866
Ag -3.2872 -1.2610 1.4381



4
Lattice="3.8706 0.0000 0.0000 0.0000 3.8706 0.0000 0.0000 0.0000 5.4706" Properties=species:S:1:pos:R:3 comment="ErScP2 | OQMD | PBE | optimized geometry" spacegroup="P4/mmm, No. 123" magnetic_moment_mub_per_cell=0.00 energy_ev_per_cell=-27.78 pbc="T T T"
P 1.9353 1.9353 0.0000
P 0.0000 0.0000 2.7353
Er 0.0000 0.0000 0.0000
Sc 1.9353 1.9353 2.7353



16
Lattice="-2.6423 3.6262 -0.4808 -5.3925 -4.5318 -4.5427 -2.2170 -1.1185 3.7476" Properties=species:S:1:pos:R:3 comment="MgPdNO | OQMD | PBE | optimized geometry" spacegroup="Pbcm, No. 57" energy_ev_per_cell=-85.40 pbc="T T T"
N -7.2276 -2.7370 -2.1215
N -2.1416 1.1582 -0.6466
N -7.4372 -0.3688 -4.2352
N -1.9319 -1.2100 1.4671
Mg -3.4090 3.0151 -0.8417
Mg -3.2006 0.6486 1.2717
Mg -5.9605 -4.5941 -1.9257
Mg -6.1689 -2.2276 -4.0392
O -4.8160 -1.0991 -2.9066
O -4.5497 -0.4781 0.1328
O -4.7511 1.8788 -1.9794
O -4.6147 -3.4559 -0.7944
Pd -5.9598 -1.6663 -1.0554
Pd -3.4065 0.0889 -1.7175
Pd -6.1642 0.6948 -3.1681
Pd -3.2021 -2.2722 0.3952



3
Lattice="1.1040 -0.1846 4.0319 -1.9222 -2.6803 2.5750 2.0551 -3.3417 1.4556" Properties=species:S:1:pos:R:3 comment="PaBeCo | OQMD | PBE | optimized geometry" spacegroup="F-43m, No. 216" magnetic_moment_mub_per_cell=0.01 energy_ev_per_cell=-20.03 pbc="T T T"
Co 0.0000 0.0000 0.0000
Be 0.3092 -1.5516 2.0156
Pa 0.9277 -4.6549 6.0469